# 1
Density functional theory data (PBE) for crystalline CdAsPd at its relaxed geometry.

```
CdAsPd
1.0
-2.308 1.053 -1.754
-2.031 -0.858 2.158
2.647 5.211 2.357
As Pd Cd
1 1 1
Direct
0.308 0.308 0.617 As
0.679 0.679 0.358 Pd
0.013 0.013 0.025 Cd
```

Electronic total energy   -3.764 eV/atom
V   56 Å³ per cell
Total magnetization   0.00 Bohr magnetons per cell
Space-group type   I4mm (107)
E_form   -17 kJ per mole of atoms

---

# 2
Density functional theory data (PBE) for crystalline La3Bi2I at its relaxed geometry.

```
La3Bi2I
1.0
-6.905 1.909 -3.804
5.692 -1.808 -5.489
-3.327 -13.548 5.013
La Bi I
12 8 4
Direct
0.168 0.657 0.838 La
0.670 0.182 0.838 La
0.082 0.093 0.662 La
0.580 0.568 0.662 La
0.986 0.486 0.500 La
0.514 0.014 0.500 La
0.432 0.420 0.338 La
0.907 0.918 0.338 La
0.818 0.330 0.162 La
0.343 0.832 0.162 La
0.264 0.264 0.000 La
0.736 0.736 0.000 La
0.002 0.502 0.003 Bi
0.415 0.415 0.830 Bi
0.835 0.335 0.670 Bi
0.248 0.248 0.497 Bi
0.752 0.752 0.503 Bi
0.665 0.165 0.330 Bi
0.585 0.585 0.170 Bi
0.498 0.998 0.997 Bi
0.917 0.917 0.834 I
0.333 0.833 0.666 I
0.167 0.667 0.334 I
0.083 0.083 0.166 I
```

Electronic total energy   -5.085 eV/atom
V   873 Å³ per cell
Total magnetization   0.00 Bohr magnetons per cell
Energy relative to the elements, uncorrected   -24.7 kcal/mol of atoms
Space-group type   Fddd (70)